Density functional theory data (PBE) for CrCo3Hg after structural relaxation.

The symmetry is Pm-3m. For the energy above the most stable polymorph in this dataset, the calculation gives 0.0000 eV/atom.

a = 4.223 Å, b = 4.223 Å, c = 4.223 Å
α = 90.00°, β = 90.00°, γ = 90.00°
Sites, in units of the cell vectors:
Cr1 0.000 0.000 0.000
Co1 0.000 0.000 0.500
Co2 0.000 0.500 0.000
Co3 0.500 0.000 0.000
Hg1 0.500 0.500 0.500



Density functional theory data (PBE) for CrCo2Hg after structural relaxation.

The symmetry is R3m.

a = 8.794 Å, b = 8.794 Å, c = 8.794 Å
α = 17.87°, β = 17.87°, γ = 17.87°
Sites, in units of the cell vectors:
Cr1 0.000 0.000 0.000
Co1 0.260 0.260 0.260
Co2 0.521 0.521 0.521
Hg1 0.762 0.762 0.762



Density functional theory data (PBE) for CrCo2Hg after structural relaxation.

The symmetry is P4/mmm.

a = 3.854 Å, b = 3.854 Å, c = 3.755 Å
α = 90.00°, β = 90.00°, γ = 90.00°
Sites, in units of the cell vectors:
Cr1 0.000 0.000 0.000
Co1 0.000 0.500 0.500
Co2 0.500 0.000 0.500
Hg1 0.500 0.500 0.000



Density functional theory data (PBE) for CrCo2Hg after structural relaxation.

The symmetry is F-43m.

a = 4.343 Å, b = 4.343 Å, c = 4.343 Å
α = 60.00°, β = 60.00°, γ = 60.00°
Sites, in units of the cell vectors:
Cr1 0.000 0.000 0.000
Co1 0.250 0.250 0.250
Co2 0.500 0.500 0.500
Hg1 0.750 0.750 0.750



What are the total energy values for these records? In order: -5.156 -5.483 -5.538 -5.490 eV per atom.
What are the formation energy from the elements values for these records? In order: 1.092 0.551 0.496 0.544 eV per atom.